Entry 1:
Crystalline Pr3Nd4Tm5 at its relaxed geometry. Source: the Alexandria database, functional GGA-PBE.

a b c (Å): 8.603 8.603 9.432
angles (deg): 114.83 114.83 40.86
Fractional coordinates of all 12 atoms:
Pr1 0.000 0.000 0.000
Pr2 0.287 0.287 0.760
Pr3 0.713 0.713 0.240
Nd1 0.291 0.291 0.115
Nd2 0.414 0.414 0.552
Nd3 0.586 0.586 0.448
Nd4 0.709 0.709 0.885
Tm1 0.069 0.069 0.698
Tm2 0.170 0.170 0.381
Tm3 0.500 0.500 0.000
Tm4 0.830 0.830 0.619
Tm5 0.931 0.931 0.302

mass density = 7.500 g cm⁻³
distance to the lowest polymorph of the same formula = 200.8 meV/atom
symmetry = C2/m
DOS at the Fermi energy = 18.5 states/eV per cell
calculated formation energy = 0.22 eV/atom
crystal system = monoclinic



Entry 2:
Crystalline NdZrTa at its relaxed geometry. Source: the Alexandria database, functional GGA-PBE.

a b c (Å): 15.576 15.576 15.576
angles (deg): 12.30 12.30 12.30
Fractional coordinates of all 6 atoms:
Nd1 0.131 0.131 0.131
Nd2 0.869 0.869 0.869
Zr1 0.404 0.404 0.404
Zr2 0.596 0.596 0.596
Ta1 0.312 0.312 0.312
Ta2 0.688 0.688 0.688

mass density = 9.271 g cm⁻³
symmetry = R-3m
DOS at the Fermi energy = 7.3 states/eV per cell
calculated formation energy = 0.30 eV/atom
crystal system = trigonal



Entry 3:
Crystalline Ca2CdP2 at its relaxed geometry. Source: the Alexandria database, functional GGA-PBE.

a b c (Å): 5.233 5.233 9.637
angles (deg): 90.00 90.00 90.00
Fractional coordinates of all 10 atoms:
Ca1 0.000 0.500 0.250
Ca2 0.000 0.500 0.750
Ca3 0.500 0.000 0.250
Ca4 0.500 0.000 0.750
Cd1 0.000 0.000 0.000
Cd2 0.500 0.500 0.500
P1 0.000 0.000 0.383
P2 0.000 0.000 0.617
P3 0.500 0.500 0.117
P4 0.500 0.500 0.883

mass density = 3.203 g cm⁻³
distance to the lowest polymorph of the same formula = 319.4 meV/atom
symmetry = I4/mmm
DOS at the Fermi energy = 0.0 states/eV per cell
calculated formation energy = -0.59 eV/atom
crystal system = tetragonal



Entry 4:
Crystalline Dy2Si3NiPt12 at its relaxed geometry. Source: the Alexandria database, functional GGA-PBE.

a b c (Å): 7.633 7.633 7.633
angles (deg): 64.50 64.50 64.50
Fractional coordinates of all 18 atoms:
Dy1 0.118 0.118 0.118
Dy2 0.882 0.882 0.882
Si1 0.000 0.500 0.500
Si2 0.500 0.000 0.500
Si3 0.500 0.500 0.000
Ni1 0.500 0.500 0.500
Pt1 0.129 0.628 0.628
Pt2 0.140 0.140 0.608
Pt3 0.140 0.608 0.140
Pt4 0.372 0.372 0.871
Pt5 0.372 0.871 0.372
Pt6 0.392 0.860 0.860
Pt7 0.608 0.140 0.140
Pt8 0.628 0.129 0.628
Pt9 0.628 0.628 0.129
Pt10 0.860 0.392 0.860
Pt11 0.860 0.860 0.392
Pt12 0.871 0.372 0.372

mass density = 13.499 g cm⁻³
energy relative to the elements, uncorrected = -0.46 eV/atom
symmetry = R-3m
DOS at the Fermi energy = 8.0 states/eV per cell
crystal system = trigonal



Entry 5:
Crystalline K3MgSc3Te8 at its relaxed geometry. Source: the Alexandria database, functional GGA-PBE.

a b c (Å): 8.317 8.317 9.758
angles (deg): 114.83 114.83 60.51
Fractional coordinates of all 15 atoms:
K1 0.000 0.000 0.000
K2 0.000 0.500 0.000
K3 0.500 0.000 0.000
Mg1 0.000 0.000 0.500
Sc1 0.000 0.500 0.500
Sc2 0.500 0.000 0.500
Sc3 0.500 0.500 0.500
Te1 0.239 0.239 0.700
Te2 0.240 0.721 0.700
Te3 0.266 0.266 0.300
Te4 0.279 0.760 0.300
Te5 0.721 0.240 0.700
Te6 0.734 0.734 0.700
Te7 0.760 0.279 0.300
Te8 0.761 0.761 0.300

mass density = 4.195 g cm⁻³
energy relative to the elements, uncorrected = -1.05 eV/atom
symmetry = C2/m
DOS at the Fermi energy = 8.3 states/eV per cell
crystal system = monoclinic



Entry 6:
Crystalline Rb2In3Br5 at its relaxed geometry. Source: the Alexandria database, functional GGA-PBE.

a b c (Å): 9.048 9.048 9.913
angles (deg): 106.49 106.49 29.44
Fractional coordinates of all 10 atoms:
Rb1 0.183 0.183 0.232
Rb2 0.817 0.817 0.768
In1 0.000 0.000 0.500
In2 0.435 0.435 0.244
In3 0.565 0.565 0.756
Br1 0.179 0.179 0.859
Br2 0.363 0.363 0.538
Br3 0.500 0.500 0.000
Br4 0.637 0.637 0.462
Br5 0.821 0.821 0.141

mass density = 3.985 g cm⁻³
energy relative to the elements, uncorrected = -1.03 eV/atom
symmetry = C2/m
crystal system = monoclinic



Entry 7:
Crystalline YBeAg3 at its relaxed geometry. Source: the Alexandria database, functional GGA-PBE.

a b c (Å): 5.533 5.533 5.533
angles (deg): 90.00 90.00 90.00
Fractional coordinates of all 5 atoms:
Y1 0.000 0.000 0.000
Be1 0.500 0.500 0.500
Ag1 0.000 0.000 0.500
Ag2 0.000 0.500 0.000
Ag3 0.500 0.000 0.000

mass density = 4.132 g cm⁻³
distance to the lowest polymorph of the same formula = 1442.1 meV/atom
symmetry = Pm-3m
DOS at the Fermi energy = 2.0 states/eV per cell
calculated formation energy = 1.42 eV/atom
crystal system = cubic



Entry 8:
Crystalline NdDy4Ho7 at its relaxed geometry. Source: the Alexandria database, functional GGA-PBE.

a b c (Å): 6.187 7.149 8.803
angles (deg): 89.98 76.27 89.90
Fractional coordinates of all 12 atoms:
Nd1 0.000 0.000 0.000
Dy1 0.221 0.500 0.334
Dy2 0.279 0.250 0.665
Dy3 0.721 0.750 0.335
Dy4 0.779 0.500 0.666
Ho1 0.000 0.500 0.000
Ho2 0.222 0.000 0.334
Ho3 0.279 0.749 0.665
Ho4 0.500 0.250 0.000
Ho5 0.500 0.750 0.000
Ho6 0.721 0.251 0.335
Ho7 0.778 0.000 0.666

mass density = 8.556 g cm⁻³
distance to the lowest polymorph of the same formula = 0.0 meV/atom
symmetry = P-1
DOS at the Fermi energy = 16.3 states/eV per cell
calculated formation energy = 0.00 eV/atom
crystal system = triclinic



Entry 9:
Crystalline Ac2Be4Si3Ir at its relaxed geometry. Source: the Alexandria database, functional GGA-PBE.

a b c (Å): 4.071 4.071 10.226
angles (deg): 90.00 90.00 90.00
Fractional coordinates of all 10 atoms:
Ac1 0.000 0.500 0.246
Ac2 0.500 0.000 0.754
Be1 0.000 0.000 0.000
Be2 0.000 0.500 0.615
Be3 0.500 0.000 0.385
Be4 0.500 0.500 0.000
Si1 0.000 0.500 0.879
Si2 0.500 0.000 0.121
Si3 0.500 0.500 0.500
Ir1 0.000 0.000 0.500

mass density = 7.510 g cm⁻³
energy relative to the elements, uncorrected = -0.37 eV/atom
symmetry = P-4m2
DOS at the Fermi energy = 4.4 states/eV per cell
crystal system = tetragonal



Entry 10:
Crystalline Tb5TlCu2 at its relaxed geometry. Source: the Alexandria database, functional GGA-PBE.

a b c (Å): 8.616 8.616 8.616
angles (deg): 125.02 125.02 81.50
Fractional coordinates of all 16 atoms:
Tb1 0.000 0.000 0.000
Tb2 0.013 0.513 0.811
Tb3 0.203 0.013 0.500
Tb4 0.297 0.797 0.811
Tb5 0.487 0.297 0.500
Tb6 0.500 0.500 0.000
Tb7 0.513 0.703 0.500
Tb8 0.703 0.203 0.189
Tb9 0.797 0.987 0.500
Tb10 0.987 0.487 0.189
Tl1 0.250 0.250 0.000
Tl2 0.750 0.750 0.000
Cu1 0.129 0.371 0.500
Cu2 0.371 0.871 0.241
Cu3 0.629 0.129 0.759
Cu4 0.871 0.629 0.500

mass density = 9.056 g cm⁻³
symmetry = I4/mcm
DOS at the Fermi energy = 21.1 states/eV per cell
calculated formation energy = -0.20 eV/atom
crystal system = tetragonal



Entry 11:
Crystalline LaTcSnI2 at its relaxed geometry. Source: the Alexandria database, functional GGA-PBE.

a b c (Å): 5.996 5.996 6.400
angles (deg): 90.00 90.00 90.00
Fractional coordinates of all 5 atoms:
La1 0.000 0.000 0.000
Tc1 0.500 0.500 0.000
Sn1 0.000 0.000 0.500
I1 0.000 0.500 0.500
I2 0.500 0.000 0.500

mass density = 4.397 g cm⁻³
energy relative to the elements, uncorrected = 0.94 eV/atom
symmetry = P4/mmm
DOS at the Fermi energy = 2.4 states/eV per cell
crystal system = tetragonal



Entry 12:
Crystalline CaRh2Pb at its relaxed geometry. Source: the Alexandria database, functional GGA-PBE.

a b c (Å): 3.210 4.332 5.623
angles (deg): 90.00 90.00 90.00
Fractional coordinates of all 4 atoms:
Ca1 0.000 0.000 0.000
Rh1 0.000 0.000 0.514
Rh2 0.500 0.500 0.810
Pb1 0.500 0.500 0.328

mass density = 9.623 g cm⁻³
symmetry = Pmm2
DOS at the Fermi energy = 3.3 states/eV per cell
calculated formation energy = -0.10 eV/atom
crystal system = orthorhombic